Entry 1:
# KScO2F

An optimized crystal structure of KScO2F (PBE, Alexandria via LeMat-Bulk).

Geometry as POSCAR:
```
KScO2F
1.0
4.4147 0.0000 0.0000
0.0000 4.4147 0.0000
0.0000 0.0000 4.3147
K Sc O F
1 1 2 1
Direct
0.0000 0.0000 0.0000 K
0.5000 0.5000 0.5000 Sc
0.0000 0.5000 0.0000 O
0.5000 0.0000 0.0000 O
0.0000 0.0000 0.5000 F
```

Calculated values
SG	P4/mmm (123)
mass density	2.7	g/cm³



Entry 2:
# K2ScSi4O10F

An optimized crystal structure of K2ScSi4O10F (PBE, Alexandria via LeMat-Bulk).

Geometry as POSCAR:
```
K2ScSi4O10F
1.0
-5.6679 5.6679 4.1423
5.6679 -5.6679 4.1423
5.6679 5.6679 -4.1423
K Sc Si O F
4 2 8 20 2
Direct
0.1823 0.8169 0.9991 K
0.1831 0.1823 0.3654 K
0.8169 0.8177 0.6346 K
0.8177 0.1831 0.0009 K
0.2559 0.2559 0.0000 Sc
0.7441 0.7441 0.0000 Sc
0.0048 0.7018 0.3243 Si
0.2982 0.6225 0.3030 Si
0.3195 0.9952 0.6970 Si
0.3775 0.6805 0.6757 Si
0.6225 0.3195 0.3243 Si
0.6805 0.0048 0.3030 Si
0.7018 0.3775 0.6970 Si
0.9952 0.2982 0.6757 Si
0.0523 0.2373 0.8171 O
0.0928 0.5916 0.2703 O
0.1775 0.9072 0.4989 O
0.1821 0.4487 0.6308 O
0.2352 0.0523 0.8150 O
0.2373 0.4202 0.1850 O
0.3213 0.8225 0.7297 O
0.4084 0.6787 0.5011 O
0.4202 0.2352 0.1829 O
0.4487 0.8179 0.2666 O
0.5513 0.1821 0.7334 O
0.5798 0.7648 0.8171 O
0.5916 0.3213 0.4989 O
0.6787 0.1775 0.2703 O
0.7627 0.5798 0.8150 O
0.7648 0.9477 0.1850 O
0.8179 0.5513 0.3692 O
0.8225 0.0928 0.5011 O
0.9072 0.4084 0.7297 O
0.9477 0.7627 0.1829 O
0.0000 0.0000 0.0000 F
0.5000 0.5000 0.0000 F
```

Calculated values
SG	I4/m (87)
mass density	2.6	g/cm³



Entry 3:
# KSeO3F

An optimized crystal structure of KSeO3F (PBE, Alexandria via LeMat-Bulk).

Geometry as POSCAR:
```
KSeO3F
1.0
2.6156 -9.1929 0.0000
2.6156 9.1929 0.0000
-0.0175 0.0000 5.0374
K Se O F
2 2 6 2
Direct
0.2307 0.7693 0.7500 K
0.7693 0.2307 0.2500 K
0.0346 0.9654 0.2500 Se
0.9654 0.0346 0.7500 Se
0.1233 0.8767 0.2500 O
0.1970 0.2350 0.0631 O
0.2350 0.1970 0.5631 O
0.7650 0.8030 0.4369 O
0.8030 0.7650 0.9369 O
0.8767 0.1233 0.7500 O
0.2698 0.7302 0.2500 F
0.7302 0.2698 0.7500 F
```

Calculated values
SG	C2/c (15)
mass density	2.5	g/cm³



| no. | formation energy without anion corrections (meV/atom) | raw total energy (eV per atom) |
| --- | --- | --- |
| 1 | -613 | -4.457 |
| 2 | -2884 | -7.422 |
| 3 | -1074 | -4.628 |